LaSb2Te2 | SCAN | PBEsol geometry

abc: 4.2960 8.3374 8.3374
angles: 90.00 90.00 90.00
Element x y z (fractional)
La1 0.0000 0.0000 0.0000
La2 0.0000 0.5000 0.5000
Sb1 0.5000 0.3159 0.1841
Sb2 0.5000 0.1841 0.6841
Sb3 0.5000 0.6841 0.8159
Sb4 0.5000 0.8159 0.3159
Te1 0.0000 0.3566 0.8566
Te2 0.0000 0.6434 0.1434
Te3 0.0000 0.1434 0.3566
Te4 0.0000 0.8566 0.6434

Values from the calculation:
- electronic total energy (eV per atom) = -38.95
- energy above the most stable polymorph in this dataset (meV/atom) = 0

ZrCuBi2 | SCAN | PBEsol geometry

abc: 5.0541 5.0541 5.0541
angles: 60.00 60.00 60.00
Element x y z (fractional)
Cu1 0.0000 0.0000 0.0000
Zr1 0.5000 0.5000 0.5000
Bi1 0.7500 0.7500 0.7500
Bi2 0.2500 0.2500 0.2500

Values from the calculation:
- electronic total energy (eV per atom) = -50.54
- formation energy from the elements (meV/atom) = 229

LiCa2Y | SCAN | PBEsol geometry

abc: 3.7584 3.7584 9.1598
angles: 90.00 90.00 90.00
Site moments in Bohr magnetons follow the coordinates.
Element x y z (fractional)
Ca1 0.0000 0.0000 0.9861  0.05
Ca2 0.5000 0.5000 0.2967  0.04
Y1 0.5000 0.5000 0.7068  0.48
Li1 0.0000 0.0000 0.5104  0.01

Values from the calculation:
- electronic total energy (eV per atom) = -12.30
- formation energy from the elements (meV/atom) = 87
- energy above the most stable polymorph in this dataset (meV/atom) = 0

InS2N | SCAN | PBEsol geometry

abc: 3.4300 3.4300 7.8296
angles: 77.35 77.35 60.00
Element x y z (fractional)
In1 0.5000 0.5000 0.5000
N1 0.0000 0.0000 0.0000
S1 0.0680 0.0680 0.7960
S2 0.9320 0.9320 0.2040

Values from the calculation:
- electronic total energy (eV per atom) = -15.01
- energy above the most stable polymorph in this dataset (meV/atom) = 0